# PBE Ac2LuZn, relaxed
data_Ac2LuZn
_cell_length_a 3.903
_cell_length_b 3.903
_cell_length_c 8.855
_cell_angle_alpha 90.00
_cell_angle_beta 90.00
_cell_angle_gamma 90.00
_space_group_name_H-M_alt 'P 4/m m m'
_space_group_IT_number 123
_space_group_name_Hall '-P 4 2'
loop_
_atom_site_label
_atom_site_type_symbol
_atom_site_fract_x
_atom_site_fract_y
_atom_site_fract_z
Ac1 Ac 0.000 0.000 0.219
Lu1 Lu 0.500 0.500 0.500
Zn1 Zn 0.500 0.500 0.000
# Spin magnetization   0.0 μB per cell
# Excess energy over the best structure of this formula in the dataset   0 meV/atom